Record 1
First-principles (GGA-PBE) data for a geometry-optimized Pm5Co2Si5 structure, as listed in Alexandria.

Summary:
N(E_F), states/eV/atom: 0.622
Spin magnetization, μB per cell: 0.0
E, eV per atom: -5.9207

Cell: 4.2560 6.2029 10.1880 Å, 93.18 90.00 110.06°
Positions (direct):
Pm 0.5000 0.0000 0.5000
Pm 0.6539 0.3078 0.1023
Pm 0.7871 0.5742 0.3920
Pm 0.2129 0.4258 0.6080
Pm 0.3461 0.6922 0.8977
Co 0.0655 0.1311 0.8085
Co 0.9345 0.8689 0.1915
Si 0.1048 0.2097 0.3189
Si 0.6464 0.2928 0.7991
Si 0.3536 0.7072 0.2009
Si 0.8952 0.7903 0.6811
Si 0.0000 0.0000 0.0000

Record 2
First-principles (GGA-PBE) data for a geometry-optimized Pm4CoSi3 structure, as listed in Alexandria.

Summary:
N(E_F), states/eV/atom: 1.123
Spin magnetization, μB per cell: 0.1
E, eV per atom: -5.8947

Cell: 4.3215 3.9427 10.8655 Å, 90.00 90.00 90.00°
Positions (direct):
Pm 0.5000 0.5000 0.3528
Pm 0.0000 0.5000 0.8628
Pm 0.0000 0.0000 0.1357
Pm 0.5000 0.0000 0.6447
Co 0.5000 0.5000 0.0627
Si 0.0000 0.5000 0.5711
Si 0.0000 0.0000 0.4317
Si 0.5000 0.0000 0.9385